Version 1
KBiS2N: relaxed, GGA-PBE.

Geometry as POSCAR:
```
KBiS2N
1.0
5.350 0.000 0.000
0.000 5.350 0.000
0.000 0.000 4.703
K Bi S N
1 1 2 1
direct
0.000 0.000 0.000 K
0.500 0.500 0.500 Bi
0.000 0.500 0.500 S
0.500 0.000 0.500 S
0.500 0.500 0.000 N
```

Computed properties:
- DOS(E_F) (states/eV/atom) = 0.4466

***

Version 2
KBiS2N: relaxed, GGA-PBE.

Geometry as POSCAR:
```
KBiS2N
1.0
5.508 0.000 0.000
0.000 5.508 0.000
0.000 0.000 4.601
K Bi S N
1 1 2 1
direct
0.000 0.000 0.000 K
0.500 0.500 0.500 Bi
0.000 0.500 0.000 S
0.500 0.000 0.000 S
0.000 0.000 0.500 N
```

Computed properties:
- DOS(E_F) (states/eV/atom) = 0.6728

***

Here are the energies relative to the best structure, in meV/atom: version 1 0; version 2 1049.

***

Version 1
KBiSe2N: relaxed, GGA-PBE.

Geometry as POSCAR:
```
KBiSe2N
1.0
5.734 0.000 0.000
0.000 5.734 0.000
0.000 0.000 4.651
K Bi Se N
1 1 2 1
direct
0.000 0.000 0.000 K
0.500 0.500 0.500 Bi
0.000 0.500 0.000 Se
0.500 0.000 0.000 Se
0.000 0.000 0.500 N
```

Computed properties:
- DOS(E_F) (states/eV/atom) = 0.8179

***

Version 2
KBiSe2N: relaxed, GGA-PBE.

Geometry as POSCAR:
```
KBiSe2N
1.0
5.622 0.000 0.000
0.000 5.622 0.000
0.000 0.000 4.739
K Bi Se N
1 1 2 1
direct
0.000 0.000 0.000 K
0.500 0.500 0.500 Bi
0.000 0.500 0.500 Se
0.500 0.000 0.500 Se
0.500 0.500 0.000 N
```

Computed properties:
- DOS(E_F) (states/eV/atom) = 0.5889

***

Here are the energies relative to the best structure, in meV/atom: version 1 946; version 2 0.

***

Version 1
KBiTeN2: relaxed, GGA-PBE.

Geometry as POSCAR:
```
KBiTeN2
1.0
4.887 0.000 0.000
0.000 4.887 0.000
0.000 0.000 6.759
K Bi Te N
1 1 1 2
direct
0.000 0.000 0.000 K
0.500 0.500 0.500 Bi
0.000 0.000 0.500 Te
0.000 0.500 0.000 N
0.500 0.000 0.000 N
```

Computed properties:
- DOS(E_F) (states/eV/atom) = 0.6279

***

Version 2
KBiTeN2: relaxed, GGA-PBE.

Geometry as POSCAR:
```
KBiTeN2
1.0
4.820 0.000 0.000
0.000 4.820 0.000
0.000 0.000 6.111
K Bi Te N
1 1 1 2
direct
0.000 0.000 0.000 K
0.500 0.500 0.500 Bi
0.500 0.500 0.000 Te
0.000 0.500 0.500 N
0.500 0.000 0.500 N
```

Computed properties:
- DOS(E_F) (states/eV/atom) = 0.3918

***

Here are the energies relative to the best structure, in meV/atom: version 1 799; version 2 0.

***

Version 1
KBiTe2N: relaxed, GGA-PBE.

Geometry as POSCAR:
```
KBiTe2N
1.0
6.121 0.000 0.000
0.000 6.121 0.000
0.000 0.000 4.723
K Bi Te N
1 1 2 1
direct
0.000 0.000 0.000 K
0.500 0.500 0.500 Bi
0.000 0.500 0.500 Te
0.500 0.000 0.500 Te
0.500 0.500 0.000 N
```

Computed properties:
- DOS(E_F) (states/eV/atom) = 0.8233

***

Version 2
KBiTe2N: relaxed, GGA-PBE.

Geometry as POSCAR:
```
KBiTe2N
1.0
6.027 0.000 0.000
0.000 6.027 0.000
0.000 0.000 4.313
K Bi Te N
1 1 2 1
direct
0.000 0.000 0.000 K
0.500 0.500 0.500 Bi
0.000 0.500 0.000 Te
0.500 0.000 0.000 Te
0.000 0.000 0.500 N
```

Computed properties:
- DOS(E_F) (states/eV/atom) = 1.5352

***

Here are the energies relative to the best structure, in meV/atom: version 1 0; version 2 1021.

***

Version 1
KNa3Bi: relaxed, GGA-PBE.

Geometry as POSCAR:
```
KNa3Bi
1.0
8.796 0.000 0.000
0.000 9.168 0.000
-1.922 0.000 10.860
K Na Bi
4 12 4
direct
0.214 0.052 0.226 K
0.214 0.448 0.726 K
0.786 0.552 0.274 K
0.786 0.948 0.774 K
0.108 0.661 0.038 Na
0.108 0.839 0.538 Na
0.370 0.569 0.371 Na
0.370 0.931 0.871 Na
0.419 0.106 0.597 Na
0.419 0.394 0.097 Na
0.581 0.606 0.903 Na
0.581 0.894 0.403 Na
0.630 0.069 0.129 Na
0.630 0.431 0.629 Na
0.892 0.161 0.462 Na
0.892 0.339 0.962 Na
0.448 0.744 0.631 Bi
0.448 0.756 0.131 Bi
0.552 0.244 0.869 Bi
0.552 0.256 0.369 Bi
```

Computed properties:
- DOS(E_F) (states/eV/atom) = 0.3359

***

Version 2
KNa3Bi: relaxed, GGA-PBE.

Geometry as POSCAR:
```
KNa3Bi
1.0
7.184 0.000 0.000
0.000 5.662 0.000
-3.587 0.000 9.209
K Na Bi
2 6 2
direct
0.090 0.250 0.173 K
0.910 0.750 0.827 K
0.056 0.250 0.600 Na
0.463 0.250 0.915 Na
0.467 0.750 0.405 Na
0.533 0.250 0.595 Na
0.537 0.750 0.085 Na
0.944 0.750 0.400 Na
0.351 0.750 0.706 Bi
0.649 0.250 0.294 Bi
```

Computed properties:
- DOS(E_F) (states/eV/atom) = 0.4419

***

Version 3
KNa3Bi: relaxed, GGA-PBE.

Geometry as POSCAR:
```
KNa3Bi
1.0
5.819 0.000 0.000
0.000 5.819 0.000
0.000 0.000 5.819
K Na Bi
1 3 1
direct
0.000 0.000 0.000 K
0.000 0.000 0.500 Na
0.000 0.500 0.000 Na
0.500 0.000 0.000 Na
0.500 0.500 0.500 Bi
```

Computed properties:
- DOS(E_F) (states/eV/atom) = 0.4692

***

Version 4
KNa3Bi: relaxed, GGA-PBE.

Geometry as POSCAR:
```
KNa3Bi
1.0
6.148 0.000 0.000
0.000 6.148 0.000
0.000 0.000 6.148
K Na Bi
1 3 1
direct
0.000 0.000 0.000 K
0.000 0.500 0.500 Na
0.500 0.000 0.500 Na
0.500 0.500 0.000 Na
0.500 0.500 0.500 Bi
```

Computed properties:
- DOS(E_F) (states/eV/atom) = 0.8184

***

Here are the energies relative to the best structure, in meV/atom: version 1 24; version 2 0; version 3 684; version 4 74.

***

Version 1
KNa2Bi2: relaxed, GGA-PBE.

Geometry as POSCAR:
```
KNa2Bi2
1.0
9.760 0.000 0.000
0.000 9.760 0.000
0.000 0.000 3.394
K Na Bi
2 4 4
direct
0.000 0.000 0.000 K
0.500 0.500 0.000 K
0.121 0.379 0.000 Na
0.379 0.879 0.000 Na
0.621 0.121 0.000 Na
0.879 0.621 0.000 Na
0.173 0.673 0.500 Bi
0.327 0.173 0.500 Bi
0.673 0.827 0.500 Bi
0.827 0.327 0.500 Bi
```

Computed properties:
- DOS(E_F) (states/eV/atom) = 0.5451

***

Version 2
KNa2Bi2: relaxed, GGA-PBE.

Geometry as POSCAR:
```
KNa2Bi2
1.0
-2.618 2.618 6.815
2.618 -2.618 6.815
2.618 2.618 -6.815
K Na Bi
1 2 2
direct
0.000 0.000 0.000 K
0.250 0.750 0.500 Na
0.750 0.250 0.500 Na
0.392 0.392 0.000 Bi
0.608 0.608 0.000 Bi
```

Computed properties:
- DOS(E_F) (states/eV/atom) = 0.4763

***

Here are the energies relative to the best structure, in meV/atom: version 1 0; version 2 29.